! AcLaAu2 GGA-PBE optimized geometry; values from VASP
&SYSTEM
  ibrav = 0, nat = 4, ntyp = 3
/
ATOMIC_SPECIES
Au 196.97 Au.upf
Ac 227.00 Ac.upf
La 138.91 La.upf
ATOMIC_POSITIONS crystal
Au 0.253 0.253 0.241
Au 0.747 0.747 0.759
Ac 0.500 0.500 0.500
La 0.000 0.000 0.000
CELL_PARAMETERS angstrom
4.316 0.000 0.000
2.158 3.738 0.000
2.158 1.246 7.884
! Polymorph energy (0 for the lowest one), meV/atom: 87
! E_tot, eV per atom: -4.624
! Space group: R-3m, No. 166
! E_form, eV per atom: -0.7265
! Magnetic moment, μB per atom: 0.00